[1]
This record from Alexandria describes a relaxed Li4WN3 crystal. The functional is PBE-GGA.

As for the crystal system: monoclinic. The value obtained for the energy relative to the elements, uncorrected is -0.51 eV/atom.

The space group is Cc (No. 9) and the conventional cell measures 10.203, 5.565 and 7.132 Å, with angles of 90.00, 110.92 and 90.00 degrees. Symmetry generates all atoms from Li at (0.000, 0.141, 0.000), Li at (0.254, 0.142, 0.409), Li at (0.317, 0.238, 0.104), Li at (0.401, 0.175, 0.797), W at (0.139, 0.384, 0.687), N at (0.171, 0.067, 0.642), N at (0.308, 0.466, 0.316) and N at (0.458, 0.016, 0.577).

***

[2]
This record from Alexandria describes a relaxed TaZn2CuAs crystal. The functional is PBE-GGA.

As for the crystal system: tetragonal. The calculation puts the energy at -3.9894 eV per atom.

The space group is P4/mmm (No. 123) and the conventional cell measures 4.386, 4.386 and 4.861 Å, with angles of 90.00, 90.00 and 90.00 degrees. Symmetry generates all atoms from Ta at (0.000, 0.000, 0.000), Zn at (0.000, 0.500, 0.500), Cu at (0.000, 0.000, 0.500) and As at (0.500, 0.500, 0.000).

***

[3]
This record from Alexandria describes a relaxed Pu2I3N crystal. The functional is PBE-GGA.

As for the crystal system: monoclinic. The value obtained for the energy relative to the elements, uncorrected is -1.18 eV/atom.

The space group is C2/m (No. 12) and the conventional cell measures 20.403, 4.025 and 12.467 Å, with angles of 90.00, 126.17 and 90.00 degrees. Symmetry generates all atoms from Pu at (0.068, 0.000, 0.462), Pu at (0.126, 0.500, 0.766), I at (0.034, 0.500, 0.240), I at (0.170, 0.000, 0.004), I at (0.214, 0.500, 0.623) and N at (0.067, 0.000, 0.641).

***

[4]
This record from Alexandria describes a relaxed LaPmTl crystal. The functional is PBE-GGA.

As for the crystal system: hexagonal. The calculation puts the energy at -4.2955 eV per atom.

The space group is P6_3/mmc (No. 194) and the conventional cell measures 5.6001, 5.6001 and 6.9660 Å, with angles of 90.00, 90.00 and 120.00 degrees. Symmetry generates all atoms from La at (0.0000, 0.0000, 0.0000), Pm at (0.3333, 0.6667, 0.2500) and Tl at (0.3333, 0.6667, 0.7500).

***

[5]
This record from Alexandria describes a relaxed Na5U3I12 crystal. The functional is PBE-GGA.

As for the crystal system: cubic. The value obtained for the energy relative to the elements, uncorrected is -0.78 eV/atom.

The space group is Ia-3d (No. 230) and the conventional cell measures 18.610, 18.610 and 18.610 Å, with angles of 90.00, 90.00 and 90.00 degrees. Symmetry generates all atoms from Na at (0.000, 0.000, 0.000), Na at (0.000, 0.250, 0.375), U at (0.000, 0.250, 0.125) and I at (0.022, 0.071, 0.653).

***

[6]
This record from Alexandria describes a relaxed BaGaAg crystal. The functional is PBE-GGA.

As for the crystal system: cubic. The calculation puts the energy at -2.9368 eV per atom.

The space group is P2_13 (No. 198) and the conventional cell measures 7.100, 7.100 and 7.100 Å, with angles of 90.00, 90.00 and 90.00 degrees. Symmetry generates all atoms from Ba at (0.129, 0.129, 0.129), Ga at (0.169, 0.331, 0.669) and Ag at (0.088, 0.588, 0.912).

***

[7]
This record from Alexandria describes a relaxed ScSnBr5 crystal. The functional is PBE-GGA.

As for the crystal system: monoclinic. The value obtained for the energy relative to the elements, uncorrected is -1.23 eV/atom.

The space group is C2/c (No. 15) and the conventional cell measures 10.335, 10.479 and 10.517 Å, with angles of 90.00, 116.27 and 90.00 degrees. Symmetry generates all atoms from Sc at (0.250, 0.250, 0.000), Sn at (0.000, 0.074, 0.250), Br at (0.000, 0.233, 0.750), Br at (0.096, 0.284, 0.142) and Br at (0.240, 0.001, 0.028).

***

[8]
This record from Alexandria describes a relaxed UTlSe3 crystal. The functional is PBE-GGA.

As for the crystal system: cubic. The value obtained for the energy relative to the elements, uncorrected is -0.81 eV/atom.

The space group is Pm-3m (No. 221) and the conventional cell measures 5.440, 5.440 and 5.440 Å, with angles of 90.00, 90.00 and 90.00 degrees. Symmetry generates all atoms from U at (0.000, 0.000, 0.000), Tl at (0.500, 0.500, 0.500) and Se at (0.000, 0.000, 0.500).

***

[9]
This record from Alexandria describes a relaxed Ni5Ge2Rh crystal. The functional is PBE-GGA.

As for the crystal system: orthorhombic. The calculation puts the energy at -5.9624 eV per atom.

The space group is Pbam (No. 55) and the conventional cell measures 5.174, 10.301 and 3.601 Å, with angles of 90.00, 90.00 and 90.00 degrees. Symmetry generates all atoms from Ni at (0.000, 0.000, 0.000), Ni at (0.011, 0.246, 0.000), Ni at (0.239, 0.869, 0.500), Ge at (0.249, 0.126, 0.500) and Rh at (0.000, 0.500, 0.000).

***

[10]
This record from Alexandria describes a relaxed As2RuBr crystal. The functional is PBE-GGA.

As for the crystal system: monoclinic. The value obtained for the energy relative to the elements, uncorrected is 0.00 eV/atom.

The space group is Cm (No. 8) and the conventional cell measures 8.580, 3.471 and 6.719 Å, with angles of 90.00, 108.55 and 90.00 degrees. Symmetry generates all atoms from As at (0.000, 0.000, 0.000), As at (0.153, 0.000, 0.745), Ru at (0.208, 0.500, 0.030) and Br at (0.359, 0.000, 0.342).